# 1
## LuMg2Tl (PBE)

Data for crystalline LuMg2Tl at its relaxed geometry.

Calculated values
Offset from the most stable computed form, meV/atom: 0
Total DFT energy (no corrections), eV/cell: -10.75
Density of states at the Fermi level, states/eV per atom: 0.55
M_tot, μB/f.u.: 0.00

Cell: 4.765 4.483 4.483 Å, 90.00 90.00 90.00°
Fractional positions:
Mg1 0.000 0.000 0.500
Tl1 0.500 0.500 0.500
Mg2 0.000 0.500 0.000
Lu1 0.500 0.000 0.000

***

# 2
## Lu2MgTl (PBE)

Data for crystalline Lu2MgTl at its relaxed geometry.

Calculated values
Total DFT energy (no corrections), eV/cell: -13.75
Density of states at the Fermi level, states/eV per atom: 0.74
M_tot, μB/f.u.: 0.00

Cell: 4.354 4.839 4.839 Å, 90.00 90.00 90.00°
Fractional positions:
Mg1 0.500 0.500 0.500
Lu1 0.000 0.500 0.000
Tl1 0.500 0.000 0.000
Lu2 0.000 0.000 0.500

***

# 3
## LuMg2Tl (PBE)

Data for crystalline LuMg2Tl at its relaxed geometry.

Calculated values
Offset from the most stable computed form, meV/atom: 194
Total DFT energy (no corrections), eV/cell: -9.97
Density of states at the Fermi level, states/eV per atom: 0.70
M_tot, μB/f.u.: 0.00

Cell: 5.175 5.175 5.177 Å, 60.01 60.01 60.00°
Fractional positions:
Lu1 0.000 0.000 0.000
Mg1 0.250 0.250 0.250
Mg2 0.750 0.750 0.750
Tl1 0.500 0.500 0.500

***

# 4
## Lu2MgTl (PBE)

Data for crystalline Lu2MgTl at its relaxed geometry.

Calculated values
Total DFT energy (no corrections), eV/cell: -13.73
Density of states at the Fermi level, states/eV per atom: 0.65
M_tot, μB/f.u.: 0.00

Cell: 3.764 3.764 7.239 Å, 90.00 90.00 90.00°
Fractional positions:
Mg1 0.500 0.500 0.500
Tl1 0.500 0.500 0.000
Lu1 0.000 0.000 0.745
Lu2 0.000 0.000 0.255

***

# 5
## Lu2MgTl (PBE)

Data for crystalline Lu2MgTl at its relaxed geometry.

Calculated values
Total DFT energy (no corrections), eV/cell: -13.33
Density of states at the Fermi level, states/eV per atom: 0.77
M_tot, μB/f.u.: 0.00

Cell: 3.534 3.534 10.384 Å, 80.20 80.20 60.00°
Fractional positions:
Lu1 0.748 0.748 0.756
Tl1 0.000 0.000 0.000
Lu2 0.252 0.252 0.244
Mg1 0.500 0.500 0.500

***

# 6
## LuMg2Tl (PBE)

Data for crystalline LuMg2Tl at its relaxed geometry.

Calculated values
Offset from the most stable computed form, meV/atom: 115
Total DFT energy (no corrections), eV/cell: -10.29
Density of states at the Fermi level, states/eV per atom: 0.69
M_tot, μB/f.u.: 0.00

Cell: 3.463 3.463 8.471 Å, 90.00 90.00 90.00°
Fractional positions:
Lu1 0.500 0.500 0.500
Mg1 0.000 0.000 0.765
Tl1 0.500 0.500 0.000
Mg2 0.000 0.000 0.235

***

# 7
## YLuMgTl (PBE)

Data for crystalline YLuMgTl at its relaxed geometry.

Calculated values
Total DFT energy (no corrections), eV/cell: -15.80
Density of states at the Fermi level, states/eV per atom: 0.85
M_tot, μB/f.u.: 0.00

Cell: 5.296 5.296 5.296 Å, 60.00 60.00 60.00°
Fractional positions:
Mg1 0.500 0.500 0.500
Lu1 0.250 0.250 0.250
Tl1 0.000 0.000 0.000
Y1 0.750 0.750 0.750

***

# 8
## LuMgTlZn (PBE)

Data for crystalline LuMgTlZn at its relaxed geometry.

Calculated values
Total DFT energy (no corrections), eV/cell: -10.62
Density of states at the Fermi level, states/eV per atom: 0.24
M_tot, μB/f.u.: 0.00

Cell: 5.014 5.014 5.014 Å, 60.00 60.00 60.00°
Fractional positions:
Lu1 0.250 0.250 0.250
Zn1 0.000 0.000 0.000
Mg1 0.750 0.750 0.750
Tl1 0.500 0.500 0.500

***

# 9
## TmLuMg2 (PBE)

Data for crystalline TmLuMg2 at its relaxed geometry.

Calculated values
Offset from the most stable computed form, meV/atom: 3
Total DFT energy (no corrections), eV/cell: -12.40
Density of states at the Fermi level, states/eV per atom: 1.22
M_tot, μB/f.u.: 0.00

Cell: 3.729 5.302 5.302 Å, 90.00 90.00 90.00°
Fractional positions:
Lu1 0.500 0.500 0.500
Tm1 0.500 0.000 0.000
Mg1 0.000 0.000 0.500
Mg2 0.000 0.500 0.000

***

# 10
## TmLuMg2 (PBE)

Data for crystalline TmLuMg2 at its relaxed geometry.

Calculated values
Offset from the most stable computed form, meV/atom: 0
Total DFT energy (no corrections), eV/cell: -12.41
Density of states at the Fermi level, states/eV per atom: 1.33
M_tot, μB/f.u.: 0.00

Cell: 5.295 5.295 5.295 Å, 60.00 60.00 60.00°
Fractional positions:
Lu1 0.500 0.500 0.500
Mg1 0.750 0.750 0.750
Mg2 0.250 0.250 0.250
Tm1 0.000 0.000 0.000

***

# 11
## Lu2MgV (PBE)

Data for crystalline Lu2MgV at its relaxed geometry.

Calculated values
Offset from the most stable computed form, meV/atom: 41
Total DFT energy (no corrections), eV/cell: -19.19
Density of states at the Fermi level, states/eV per atom: 0.83
M_tot, μB/f.u.: 3.40

Cell: 5.103 5.103 5.103 Å, 60.00 60.00 60.00°
Each line ends with the local moment (μB).
Fractional positions:
V1 0.000 0.000 0.000  2.42
Lu1 0.250 0.250 0.250  0.18
Mg1 0.500 0.500 0.500  -0.02
Lu2 0.750 0.750 0.750  0.18

***

# 12
## Lu2MgV (PBE)

Data for crystalline Lu2MgV at its relaxed geometry.

Calculated values
Offset from the most stable computed form, meV/atom: 0
Total DFT energy (no corrections), eV/cell: -19.35
Density of states at the Fermi level, states/eV per atom: 0.77
M_tot, μB/f.u.: 2.91

Cell: 3.526 3.526 7.750 Å, 90.00 90.00 90.00°
Each line ends with the local moment (μB).
Fractional positions:
V1 0.500 0.500 0.000  -2.15
Lu1 0.000 0.000 0.784  -0.16
Lu2 0.000 0.000 0.216  -0.16
Mg1 0.500 0.500 0.500  0.00

***

Question: Among the records above, which one has the lowest total DFT energy (no corrections)?
Answer: number 12

***

Question: What is the total DFT energy (no corrections) in the eighth record?
Answer: -10.62 eV/cell